[1]
Below is a geometry-optimized CsRb8Au6 structure, with properties calculated at the PBE-GGA level.

a b c (Å): 10.3918 10.3918 21.6624
angles (deg): 90.00 90.00 120.00
Space group R-3 (No. 148, hexagonal axes)
Symmetry-distinct sites (fractional):
1 Cs 0.0000 0.0000 0.0000 (multiplicity 3)
2 Rb 0.0000 0.0000 0.3331 (multiplicity 6)
3 Rb 0.0005 0.6651 0.8943 (multiplicity 18)
4 Au 0.0014 0.6654 0.0616 (multiplicity 18)

Properties
Formation energy from the elements, eV per atom: -0.23

---

[2]
Below is a geometry-optimized BaRuPb structure, with properties calculated at the PBE-GGA level.

a b c (Å): 7.382 7.382 7.382
angles (deg): 90.00 90.00 90.00
Space group F-43m (No. 216)
Symmetry-distinct sites (fractional):
1 Ba 0.000 0.000 0.000 (multiplicity 4)
2 Ru 0.250 0.250 0.750 (multiplicity 4)
3 Pb 0.250 0.250 0.250 (multiplicity 4)

Properties
Formation energy from the elements, eV per atom: 1.26